# Ba2Ag2Pd5Pb, optimized geometry, DFT PBE-GGA
data_Ba2Ag2Pd5Pb
_chemical_formula_sum 'Ba4 Ag4 Pd10 Pb2'
_space_group_name_H-M_alt 'P 4/m b m'
_space_group_IT_number 127
_space_group_name_Hall '-P 4 2ab'
_cell_length_a 10.511
_cell_length_b 10.511
_cell_length_c 4.017
_cell_angle_alpha 90.00
_cell_angle_beta 90.00
_cell_angle_gamma 90.00
loop_
_atom_site_label
_atom_site_type_symbol
_atom_site_fract_x
_atom_site_fract_y
_atom_site_fract_z
Ba1 Ba 0.175 0.325 0.000
Ag1 Ag 0.125 0.625 0.000
Pd1 Pd 0.000 0.500 0.500
Pd2 Pd 0.056 0.799 0.500
Pb1 Pb 0.000 0.000 0.000
# ρ: 9.203 g cm⁻³
# E: -84.7 eV per cell
# formation enthalpy at 0 K: -3.1 eV/f.u.



# InAgP2, optimized geometry, DFT PBE-GGA
data_InAgP2
_chemical_formula_sum 'In2 Ag2 P4'
_space_group_name_H-M_alt 'C 1 2/m 1'
_space_group_IT_number 12
_cell_length_a 5.602
_cell_length_b 7.537
_cell_length_c 4.580
_cell_angle_alpha 90.00
_cell_angle_beta 124.64
_cell_angle_gamma 90.00
loop_
_space_group_symop_operation_xyz
'x,y,z'
'-x,-y,-z'
'-x,y,-z'
'x,-y,z'
'x+1/2,y+1/2,z'
'-x+1/2,-y+1/2,-z'
'-x+1/2,y+1/2,-z'
'x+1/2,-y+1/2,z'
loop_
_atom_site_label
_atom_site_type_symbol
_atom_site_fract_x
_atom_site_fract_y
_atom_site_fract_z
In1 In 0.000 0.000 0.000
Ag1 Ag 0.000 0.500 0.000
P1 P 0.250 0.250 0.500
# ρ: 5.942 g cm⁻³
# E: -30.3 eV per cell
# formation enthalpy at 0 K: 1.3 eV/f.u.



# RbNa3, optimized geometry, DFT PBE-GGA
data_RbNa3
_chemical_formula_sum 'Rb6 Na18'
_space_group_name_H-M_alt 'C 1 2/m 1'
_space_group_IT_number 12
_cell_length_a 12.810
_cell_length_b 7.548
_cell_length_c 12.903
_cell_angle_alpha 90.00
_cell_angle_beta 109.28
_cell_angle_gamma 90.00
loop_
_space_group_symop_operation_xyz
'x,y,z'
'-x,-y,-z'
'-x,y,-z'
'x,-y,z'
'x+1/2,y+1/2,z'
'-x+1/2,-y+1/2,-z'
'-x+1/2,y+1/2,-z'
'x+1/2,-y+1/2,z'
loop_
_atom_site_label
_atom_site_type_symbol
_atom_site_fract_x
_atom_site_fract_y
_atom_site_fract_z
Rb1 Rb 0.000 0.000 0.000
Rb2 Rb 0.141 0.000 0.425
Na1 Na 0.000 0.500 0.500
Na2 Na 0.082 0.500 0.246
Na3 Na 0.166 0.500 0.000
Na4 Na 0.169 0.251 0.756
# ρ: 1.307 g cm⁻³
# E: -29.2 eV per cell
# formation enthalpy at 0 K: 0.1 eV/f.u.



# Ni6SnSb, optimized geometry, DFT PBE-GGA
data_Ni6SnSb
_chemical_formula_sum 'Ni6 Sn1 Sb1'
_space_group_name_H-M_alt 'P 4/m m m'
_space_group_IT_number 123
_space_group_name_Hall '-P 4 2'
_cell_length_a 3.730
_cell_length_b 3.730
_cell_length_c 7.463
_cell_angle_alpha 90.00
_cell_angle_beta 90.00
_cell_angle_gamma 90.00
loop_
_atom_site_label
_atom_site_type_symbol
_atom_site_fract_x
_atom_site_fract_y
_atom_site_fract_z
Ni1 Ni 0.000 0.000 0.000
Ni2 Ni 0.000 0.000 0.500
Ni3 Ni 0.000 0.500 0.248
Sn1 Sn 0.500 0.500 0.500
Sb1 Sb 0.500 0.500 0.000
# relative energy among the computed polymorphs: 0.00 kJ/mol of atoms
# uncorrected formation energy: -0.17 eV per atom
# ρ: 9.475 g cm⁻³
# E: -44.2 eV per cell



# Tb2Se2Br, optimized geometry, DFT PBE-GGA
data_Tb2Se2Br
_chemical_formula_sum 'Tb8 Se8 Br4'
_space_group_name_H-M_alt 'C 1 2/m 1'
_space_group_IT_number 12
_cell_length_a 12.939
_cell_length_b 5.707
_cell_length_c 8.279
_cell_angle_alpha 90.00
_cell_angle_beta 109.08
_cell_angle_gamma 90.00
loop_
_space_group_symop_operation_xyz
'x,y,z'
'-x,-y,-z'
'-x,y,-z'
'x,-y,z'
'x+1/2,y+1/2,z'
'-x+1/2,-y+1/2,-z'
'-x+1/2,y+1/2,-z'
'x+1/2,-y+1/2,z'
loop_
_atom_site_label
_atom_site_type_symbol
_atom_site_fract_x
_atom_site_fract_y
_atom_site_fract_z
Tb1 Tb 0.002 0.000 0.239
Tb2 Tb 0.161 0.500 0.075
Se1 Se 0.004 0.500 0.253
Se2 Se 0.171 0.000 0.089
Br1 Br 0.162 0.000 0.588
# uncorrected formation energy: -1.82 eV per atom
# ρ: 6.388 g cm⁻³
# E: -108.0 eV per cell



# LaAlHg, optimized geometry, DFT PBE-GGA
data_LaAlHg
_chemical_formula_sum 'La2 Al2 Hg2'
_space_group_name_H-M_alt 'P -6 m 2'
_space_group_IT_number 187
_space_group_name_Hall 'P -6 2'
_cell_length_a 4.7732
_cell_length_b 4.7732
_cell_length_c 7.8195
_cell_angle_alpha 90.00
_cell_angle_beta 90.00
_cell_angle_gamma 120.00
loop_
_atom_site_label
_atom_site_type_symbol
_atom_site_fract_x
_atom_site_fract_y
_atom_site_fract_z
La1 La 0.0000 0.0000 0.0000
La2 La 0.0000 0.0000 0.5000
Al1 Al 0.3333 0.6667 0.2097
Hg1 Hg 0.6667 0.3333 0.2785
# ρ: 7.888 g cm⁻³
# E: -20.9 eV per cell
# formation enthalpy at 0 K: -1.5 eV/f.u.



Question: Which of these has the lowest E?
Answer: Tb2Se2Br



Question: Number 6 is which compound?
Answer: LaAlHg



Question: Among the records above, which one has the lowest E?
Answer: Tb2Se2Br



Question: Which of these has the highest E?
Answer: LaAlHg